1.
A plane-wave DFT calculation with SCAN was carried out for a PBEsol-optimized structure of PRu2Rh.

Properties
Electronic total energy in eV per atom: -28.614
DOS(E_F) in states/eV/cell: 2.17
ΔH_f (0 K) in eV per atom: -0.158

a = 2.8028 Å, b = 3.7749 Å, c = 5.0877 Å
α = 90.00°, β = 104.19°, γ = 90.00°
Atoms (fractional coordinates):
P  0.0000  0.0000  0.0000
Ru  0.3652  0.5000  0.2345
Ru  0.6348  0.5000  0.7655
Rh  0.0000  0.0000  0.5000


2.
A plane-wave DFT calculation with SCAN was carried out for a PBEsol-optimized structure of P2RuRh.

Properties
Electronic total energy in eV per atom: -22.676
Relative energy among the computed polymorphs in meV per atom: 139
DOS(E_F) in states/eV/cell: 1.38
ΔH_f (0 K) in eV per atom: -0.328

a = 7.4141 Å, b = 7.4141 Å, c = 7.4141 Å
α = 22.29°, β = 22.29°, γ = 22.29°
Atoms (fractional coordinates):
P  0.2489  0.2489  0.2489
P  0.7511  0.7511  0.7511
Ru  0.5000  0.5000  0.5000
Rh  0.0000  0.0000  0.0000


3.
A plane-wave DFT calculation with SCAN was carried out for a PBEsol-optimized structure of P2RuRh.

Properties
Electronic total energy in eV per atom: -22.795
Relative energy among the computed polymorphs in meV per atom: 20
DOS(E_F) in states/eV/cell: 1.31
ΔH_f (0 K) in eV per atom: -0.447

a = 3.2566 Å, b = 3.2566 Å, c = 4.9197 Å
α = 90.00°, β = 90.00°, γ = 90.00°
Atoms (fractional coordinates):
P  0.0000  0.0000  0.0000
P  0.5000  0.5000  0.3462
Ru  0.5000  0.5000  0.8520
Rh  0.0000  0.0000  0.4812


Question: Which of these has the lowest DOS(E_F)?
Answer: number 3


Question: What is the electronic total energy in the first record?
Answer: -28.614 eV per atom